Here is a geometry-optimized HgMo3Os structure from the Alexandria database. Energies are from PBE.

## Properties
- ΔE to the lowest computed polymorph: 1575 meV per atom

Unit cell a=4.8060 b=4.8060 c=4.8060 alpha=90.00 beta=90.00 gamma=90.00
Fractional positions:
Mo (0.0000, 0.5000, 0.0000)
Mo (0.5000, 0.0000, 0.0000)
Mo (0.0000, 0.0000, 0.5000)
Hg (0.0000, 0.0000, 0.0000)
Os (0.5000, 0.5000, 0.5000)

=====

Here is a geometry-optimized Hg2MoOs structure from the Alexandria database. Energies are from PBE.

## Properties
- ΔE to the lowest computed polymorph: 401 meV per atom

Unit cell a=6.0190 b=6.0190 c=6.0190 alpha=152.33 beta=131.63 gamma=56.63
Fractional positions:
Hg (0.0209, 0.0209, 0.0000)
Os (0.2753, 0.7753, 0.5000)
Mo (0.4696, 0.4696, 0.0000)
Hg (0.7342, 0.2342, 0.5000)

=====

Here is a geometry-optimized Hg2MoOs structure from the Alexandria database. Energies are from PBE.

## Properties
- ΔE to the lowest computed polymorph: 497 meV per atom

Unit cell a=9.6263 b=9.6263 c=9.6263 alpha=17.54 beta=17.54 gamma=17.54
Fractional positions:
Hg (0.4992, 0.4992, 0.4992)
Os (0.7500, 0.7500, 0.7500)
Mo (0.2500, 0.2500, 0.2500)
Hg (0.0008, 0.0008, 0.0008)

=====

Here is a geometry-optimized Hg2MoOs structure from the Alexandria database. Energies are from PBE.

## Properties
- ΔE to the lowest computed polymorph: 64 meV per atom

Unit cell a=10.3800 b=10.3800 c=10.3800 alpha=16.04 beta=16.04 gamma=16.04
Fractional positions:
Hg (0.0079, 0.0079, 0.0079)
Hg (0.2419, 0.2419, 0.2419)
Os (0.7589, 0.7589, 0.7589)
Mo (0.4913, 0.4913, 0.4913)

=====

no.,M_tot (μB per formula unit),N(E_F) (states/eV per cell)
1,0.000,11.26
2,0.000,4.21
3,0.003,3.60
4,0.000,3.59